[1]
{
  "formula": "Sm5Dy3Tm2",
  "functional": "GGA-PBE",
  "state": "optimized geometry",
  "lattice": [[8.589, 1.897, -4.131], [0.437, 8.791, -4.181], [-2.015, -2.343, 10.727]],
  "species": ["Sm", "Sm", "Sm", "Sm", "Sm", "Sm", "Sm", "Sm", "Sm", "Sm", "Dy", "Dy", "Dy", "Dy", "Dy", "Dy", "Tm", "Tm", "Tm", "Tm"],
  "fractional_positions": [[0.104, 0.350, 0.233], [0.372, 0.118, 0.767], [0.022, 0.772, 0.544], [0.482, 0.732, 0.463], [0.628, 0.882, 0.233], [0.725, 0.475, 0.950], [0.896, 0.650, 0.767], [0.275, 0.525, 0.050], [0.978, 0.228, 0.456], [0.518, 0.268, 0.537], [0.718, 0.480, 0.248], [0.031, 0.768, 0.248], [0.780, 0.030, 0.059], [0.969, 0.232, 0.752], [0.282, 0.520, 0.752], [0.220, 0.970, 0.941], [0.488, 0.723, 0.761], [0.512, 0.277, 0.239], [0.226, 0.962, 0.239], [0.774, 0.038, 0.761]],
  "formation_enthalpy_0k_kcal_per_mol_atoms": 4.39,
  "e_above_lowest_polymorph_ev_per_atom": 0.000
}

[2]
{
  "formula": "Sm5Dy5Tm",
  "functional": "GGA-PBE",
  "state": "optimized geometry",
  "lattice": [[6.100, 0.000, 0.000], [-3.050, 5.282, 0.000], [0.000, 0.000, 11.485]],
  "species": ["Sm", "Sm", "Sm", "Sm", "Sm", "Tm", "Dy", "Dy", "Dy", "Dy", "Dy"],
  "fractional_positions": [[0.339, 0.170, 0.500], [0.830, 0.170, 0.500], [0.830, 0.661, 0.500], [0.000, 0.000, 0.263], [0.000, 0.000, 0.737], [0.333, 0.667, 0.000], [0.333, 0.667, 0.684], [0.667, 0.333, 0.843], [0.333, 0.667, 0.316], [0.000, 0.000, 0.000], [0.667, 0.333, 0.157]],
  "formation_enthalpy_0k_kcal_per_mol_atoms": 7.86
}

What did the first record say?
{
  "formula": "Sm5Dy3Tm2",
  "functional": "GGA-PBE",
  "state": "optimized geometry",
  "lattice": [[8.589, 1.897, -4.131], [0.437, 8.791, -4.181], [-2.015, -2.343, 10.727]],
  "species": ["Sm", "Sm", "Sm", "Sm", "Sm", "Sm", "Sm", "Sm", "Sm", "Sm", "Dy", "Dy", "Dy", "Dy", "Dy", "Dy", "Tm", "Tm", "Tm", "Tm"],
  "fractional_positions": [[0.104, 0.350, 0.233], [0.372, 0.118, 0.767], [0.022, 0.772, 0.544], [0.482, 0.732, 0.463], [0.628, 0.882, 0.233], [0.725, 0.475, 0.950], [0.896, 0.650, 0.767], [0.275, 0.525, 0.050], [0.978, 0.228, 0.456], [0.518, 0.268, 0.537], [0.718, 0.480, 0.248], [0.031, 0.768, 0.248], [0.780, 0.030, 0.059], [0.969, 0.232, 0.752], [0.282, 0.520, 0.752], [0.220, 0.970, 0.941], [0.488, 0.723, 0.761], [0.512, 0.277, 0.239], [0.226, 0.962, 0.239], [0.774, 0.038, 0.761]],
  "formation_enthalpy_0k_kcal_per_mol_atoms": 4.39,
  "e_above_lowest_polymorph_ev_per_atom": 0.000
}